## Li4CaPu (GGA-PBE)

Data for an optimized crystal structure of Li4CaPu.

calculated formation energy = 1.2 eV per formula unit
VASP energy = -3.797 eV per atom
Fermi-level density of states = 2.37 states/eV/atom

abc: 5.992 5.992 5.992
angles: 60.00 60.00 60.00
Positions (direct):
Li1 0.125 0.125 0.125
Li2 0.125 0.125 0.626
Li3 0.125 0.626 0.125
Li4 0.626 0.125 0.125
Ca1 0.500 0.500 0.500
Pu1 0.750 0.750 0.750

## Li2CaPuS4 (GGA-PBE)

Data for an optimized crystal structure of Li2CaPuS4.

formation energy from raw total energies = -1189 kJ/mol of formula units
VASP energy = -6.125 eV per atom
Fermi-level density of states = 1.19 states/eV/atom

abc: 6.821 6.821 6.821
angles: 132.87 132.87 68.86
Positions (direct):
Li1 0.000 0.000 0.000
Li2 0.750 0.250 0.500
Ca1 0.250 0.750 0.500
Pu1 0.500 0.500 0.000
S1 0.267 0.267 0.000
S2 0.502 0.002 0.500
S3 0.733 0.733 0.000
S4 0.998 0.498 0.500

## LiCaPu2Se4 (GGA-PBE)

Data for an optimized crystal structure of LiCaPu2Se4.

formation energy from raw total energies = -1223 kJ/mol of formula units
VASP energy = -7.399 eV per atom
Fermi-level density of states = 2.34 states/eV/atom

abc: 7.162 4.164 7.180
angles: 90.00 109.56 90.00
Positions (direct):
Li1 0.000 0.000 0.000
Ca1 0.000 0.500 0.500
Pu1 0.500 0.000 0.500
Pu2 0.500 0.500 0.000
Se1 0.250 0.000 0.754
Se2 0.250 0.500 0.247
Se3 0.750 0.000 0.246
Se4 0.750 0.500 0.753

## LiCa2PuSe4 (GGA-PBE)

Data for an optimized crystal structure of LiCa2PuSe4.

formation energy from raw total energies = -1289 kJ/mol of formula units
VASP energy = -5.943 eV per atom
Fermi-level density of states = 1.76 states/eV/atom

abc: 7.135 4.191 7.186
angles: 90.00 109.05 90.00
Positions (direct):
Li1 0.000 0.000 0.000
Ca1 0.000 0.500 0.500
Ca2 0.500 0.000 0.500
Pu1 0.500 0.500 0.000
Se1 0.249 0.500 0.244
Se2 0.251 0.000 0.759
Se3 0.749 0.000 0.241
Se4 0.751 0.500 0.756

## LiCaPuSe3 (GGA-PBE)

Data for an optimized crystal structure of LiCaPuSe3.

formation energy from raw total energies = -886 kJ/mol of formula units
VASP energy = -6.313 eV per atom
Fermi-level density of states = 1.89 states/eV/atom

abc: 8.511 4.113 8.841
angles: 90.00 101.55 90.00
Positions (direct):
Li1 0.085 0.250 0.082
Li2 0.915 0.750 0.918
Ca1 0.181 0.250 0.729
Ca2 0.819 0.750 0.271
Pu1 0.332 0.750 0.332
Pu2 0.668 0.250 0.668
Se1 0.101 0.250 0.368
Se2 0.218 0.750 0.999
Se3 0.428 0.750 0.667
Se4 0.572 0.250 0.333
Se5 0.782 0.250 0.001
Se6 0.899 0.750 0.632

## LiCa3Pu2Se6 (GGA-PBE)

Data for an optimized crystal structure of LiCa3Pu2Se6.

formation energy from raw total energies = -1984 kJ/mol of formula units
VASP energy = -6.505 eV per atom
Fermi-level density of states = 1.82 states/eV/atom

abc: 7.234 7.234 7.250
angles: 99.60 99.60 119.96
Positions (direct):
Li1 0.000 0.000 0.000
Ca1 0.166 0.834 0.500
Ca2 0.500 0.500 0.500
Ca3 0.834 0.166 0.500
Pu1 0.333 0.667 0.000
Pu2 0.667 0.333 0.000
Se1 0.082 0.416 0.245
Se2 0.252 0.252 0.753
Se3 0.416 0.082 0.245
Se4 0.584 0.918 0.755
Se5 0.748 0.748 0.247
Se6 0.918 0.584 0.755

Question: The highest Fermi-level density of states belongs to which entry?
Answer: Li4CaPu